First-principles (PBE with a Hubbard U) data for Rb3NiAg2F9 after structural relaxation, as listed in Alexandria.

Values from the calculation:
- density of states at the Fermi level (states/eV per cell) = 5.42
- uncorrected energy (eV/atom) = -3.917

Structure (extended XYZ):
```
15
Lattice="6.1222 0.0000 0.0000 -3.0611 5.3020 0.0000 0.0000 0.0000 7.5128" Properties=species:S:1:pos:R:3 pbc="T T T"
Rb 0.0000 0.0000 0.0000
Rb 0.0000 3.5346 4.9884
Rb 3.0611 1.7673 2.5245
Ni 0.0000 0.0000 3.7564
Ag 0.0000 3.5346 1.3217
Ag 3.0611 1.7673 6.1911
F -1.5305 2.6510 0.0000
F 0.0000 1.6573 2.5882
F -1.6258 4.4733 2.5882
F 1.4353 0.8287 4.9247
F 3.0611 0.0000 0.0000
F 1.5305 2.6510 0.0000
F 1.6258 4.4733 2.5882
F 4.6869 0.8287 4.9247
F 3.0611 3.6446 4.9247
```